DFT (PBE-GGA) results for a geometry-optimized K2BaCo structure.

```
data_K2BaCo
_cell_length_a 6.979
_cell_length_b 12.534
_cell_length_c 4.391
_cell_angle_alpha 90.00
_cell_angle_beta 90.00
_cell_angle_gamma 90.00
_space_group_name_H-M_alt 'C m m m'
_space_group_IT_number 65
_space_group_name_Hall '-C 2 2'
loop_
_atom_site_label
_atom_site_fract_x
_atom_site_fract_y
_atom_site_fract_z
K1 0.250 0.250 0.000
Ba1 0.000 0.000 0.500
Co1 0.000 0.500 0.500
```

Values from the calculation:
E_form   0.871 eV/atom
VASP energy   -1.935 eV/atom
Density   2.37 g/cm3
Crystal system   orthorhombic